# 1
Here is a relaxed Sm4Cd3Sn crystal from the Alexandria database. Energies are from GGA-PBE.

The structure belongs to space group Pmmm (No. 47); the cell edges are 3.812, 5.383 and 10.854 Å and the angles 90.00°, 90.00° and 90.00°. The distinct sites, in fractional coordinates, are Sm at (0.000, 0.000, 0.000), Sm at (0.000, 0.000, 0.500), Sm at (0.000, 0.500, 0.249), Cd at (0.500, 0.000, 0.259), Cd at (0.500, 0.500, 0.500) and Sn at (0.500, 0.500, 0.000).

The value obtained for the calculated formation energy is -322 kJ/mol of formula units. The calculated density is 7.885 g cm⁻³. As for the density of states at the Fermi level: 1.288 states/eV/atom.


# 2
Here is a relaxed Sm2Cd3Sn crystal from the Alexandria database. Energies are from GGA-PBE.

The structure belongs to space group Fmmm (No. 69); the cell edges are 7.311, 9.916 and 17.130 Å and the angles 90.00°, 90.00° and 90.00°. The distinct sites, in fractional coordinates, are Sm at (0.247, 0.000, 0.000), Sm at (0.250, 0.250, 0.250), Cd at (0.000, 0.000, 0.165), Cd at (0.000, 0.248, 0.082) and Sn at (0.000, 0.000, 0.334).

The value obtained for the calculated formation energy is -258 kJ/mol of formula units. The calculated density is 8.094 g cm⁻³. As for the density of states at the Fermi level: 0.752 states/eV/atom.